This record from the Alexandria database describes a relaxed structure of ErTaS3. The functional is PBE-GGA.

```
data_ErTaS3
_cell_length_a 3.5421
_cell_length_b 6.9581
_cell_length_c 8.4382
_cell_angle_alpha 79.40
_cell_angle_beta 77.98
_cell_angle_gamma 75.27
_space_group_name_H-M_alt 'P 1'
_space_group_IT_number 1
_space_group_name_Hall 'P 1'
loop_
_atom_site_label
_atom_site_type_symbol
_atom_site_fract_x
_atom_site_fract_y
_atom_site_fract_z
_atom_site_occupancy
Er1 Er 0.0876 0.2354 0.0882 1
Er2 Er 0.9124 0.7646 0.9118 1
Ta1 Ta 0.2508 0.3803 0.6192 1
Ta2 Ta 0.7492 0.6197 0.3808 1
S1 S 0.1027 0.7482 0.5459 1
S2 S 0.3233 0.0428 0.8101 1
S3 S 0.3917 0.5492 0.1646 1
S4 S 0.6083 0.4508 0.8354 1
S5 S 0.6767 0.9572 0.1899 1
S6 S 0.8973 0.2518 0.4541 1
```

Output
Raw formation energy: -1.4523 eV per atom
Density of states at the Fermi level: 0.4057 states/eV/atom